First-principles (GGA-PBE) data for CaTlRh3 after structural relaxation, as listed in the Alexandria database.

As for the density of states at the Fermi level: 5.5 states/eV/f.u. For the offset from the most stable computed form, the calculation gives 0.381 eV per atom. Its symmetry is No. 221. The calculation puts the total magnetization at 1.70 Bohr magnetons per cell.

Cell lengths 4.8172, 4.8172, 4.8172 Å; angles 90.00, 90.00, 90.00 degrees
Fractional positions:
Tl: 0.5000 0.5000 0.5000
Rh: 0.0000 0.5000 0.0000
Rh: 0.0000 0.0000 0.5000
Rh: 0.5000 0.0000 0.0000
Ca: 0.0000 0.0000 0.0000